1.
PBE TiMnSCl2, optimized geometry; relative energy among the computed polymorphs = 0.000 eV/atom; ΔE_f (raw) = -506 meV per atom; total magnetic moment = 6.68 μB per formula unit
1.0
-0.6413 -4.7546 -0.6774
3.0696 0.1198 -3.7469
3.6670 -0.9184 2.9748
Mn Ti Cl S
1 1 2 1
direct
0.5000 0.5000 0.5000
0.0000 0.0000 0.0000
0.5000 0.0000 0.0000
0.0000 0.5000 0.0000
0.0000 0.0000 0.5000

=====

2.
PBE Ti2MnS2Cl4, optimized geometry; ΔE_f (raw) = -1143 meV per atom; total magnetic moment = 1.21 μB per formula unit
1.0
3.2182 0.0000 0.0000
-1.6091 2.7870 0.0000
0.0000 0.0000 20.7626
Ti S Mn Cl
2 2 1 4
direct
0.6667 0.3333 0.6484
0.0000 0.0000 0.9849
0.6667 0.3333 0.2595
0.6667 0.3333 0.3919
0.0000 0.0000 0.3257
0.6667 0.3333 0.9077
0.0000 0.0000 0.7256
0.0000 0.0000 0.5715
0.6667 0.3333 0.0618

=====

3.
PBE TiMnS2Cl, optimized geometry; relative energy among the computed polymorphs = 0.000 eV/atom; ΔE_f (raw) = -435 meV per atom; total magnetic moment = 5.40 μB per formula unit
1.0
4.7548 0.0000 0.0000
0.0000 4.7548 0.0000
0.0000 0.0000 4.6854
Mn Ti Cl S
1 1 1 2
direct
0.5000 0.5000 0.5000
0.0000 0.0000 0.0000
0.0000 0.0000 0.5000
0.5000 0.0000 0.0000
0.0000 0.5000 0.0000

=====

4.
PBE MnTlS2Cl, optimized geometry; relative energy among the computed polymorphs = 0.692 eV/atom; ΔE_f (raw) = 497 meV per atom; total magnetic moment = 4.90 μB per formula unit
1.0
5.1279 0.0000 0.0000
0.0000 5.1279 0.0000
0.0000 0.0000 5.1860
S Cl Mn Tl
2 1 1 1
direct
0.5000 0.0000 0.0000
0.0000 0.5000 0.0000
0.0000 0.0000 0.5000
0.5000 0.5000 0.5000
0.0000 0.0000 0.0000

=====

5.
PBE MnTlS2Cl, optimized geometry; relative energy among the computed polymorphs = 0.000 eV/atom; ΔE_f (raw) = -195 meV per atom; total magnetic moment = 0.00 μB per formula unit
1.0
4.4381 0.0000 0.0000
0.0000 4.4381 0.0000
0.0000 0.0000 5.2804
Tl Cl S Mn
1 1 2 1
direct
0.5000 0.5000 0.5000
0.0000 0.0000 0.5000
0.0000 0.5000 0.0000
0.5000 0.0000 0.0000
0.0000 0.0000 0.0000

=====

6.
PBE MnTlSCl2, optimized geometry; relative energy among the computed polymorphs = 0.000 eV/atom; ΔE_f (raw) = -676 meV per atom; total magnetic moment = 4.00 μB per formula unit
1.0
-2.3949 -4.3100 0.9683
2.9889 -0.7700 3.9652
-3.0134 2.2843 2.7150
Cl Tl Mn S
2 1 1 1
direct
0.5000 0.0000 0.0000
0.0000 0.5000 0.0000
0.5000 0.5000 0.5000
0.0000 0.0000 0.0000
0.0000 0.0000 0.5000

=====

7.
PBE MnTlSCl2, optimized geometry; relative energy among the computed polymorphs = 0.862 eV/atom; ΔE_f (raw) = 187 meV per atom; total magnetic moment = 5.54 μB per formula unit
1.0
-0.5104 2.9529 -4.3843
1.8202 -4.0371 -2.9309
-4.8439 -1.7417 -0.6091
Mn Cl Tl S
1 2 1 1
direct
0.5000 0.5000 0.5000
0.5000 0.0000 0.0000
0.0000 0.5000 0.0000
0.0000 0.0000 0.0000
0.0000 0.0000 0.5000

=====

8.
PBE MnVSCl2, optimized geometry; relative energy among the computed polymorphs = 0.747 eV/atom; ΔE_f (raw) = 476 meV per atom; total magnetic moment = 0.14 μB per formula unit
1.0
-2.7545 -2.7272 2.5332
3.3765 -3.1570 0.2726
1.4918 1.9136 3.6823
S V Cl Mn
1 1 2 1
direct
0.0000 0.0000 0.5000
0.5000 0.5000 0.5000
0.0000 0.5000 0.0000
0.5000 0.0000 0.0000
0.0000 0.0000 0.0000